VASP calculation (GGA-PBE) on Ac2C2O7 after structural relaxation. Values from VASP.

Energy (hartree per atom): -0.291
Fermi-level density of states (states/eV/cell): 0.0
Crystal system: monoclinic
ΔE_f (raw) (kJ/mol of atoms): -226

The structure in Quantum ESPRESSO input format:
```
&SYSTEM
  ibrav = 0, nat = 11, ntyp = 3
/
ATOMIC_SPECIES
Ac 227.00 Ac.upf
C 12.01 C.upf
O 16.00 O.upf
CELL_PARAMETERS angstrom
4.525 -4.116 0.000
4.525 4.116 0.000
-1.071 0.000 3.962
ATOMIC_POSITIONS crystal
Ac 0.219 0.781 0.000
Ac 0.781 0.219 0.000
C 0.325 0.325 0.409
C 0.675 0.675 0.591
O 0.000 0.000 0.500
O 0.151 0.426 0.254
O 0.403 0.403 0.719
O 0.426 0.151 0.254
O 0.574 0.849 0.746
O 0.597 0.597 0.281
O 0.849 0.574 0.746
```

VASP calculation (GGA-PBE) on Mg2AlPt3 after structural relaxation. Values from VASP.

ΔH_f (0 K) (eV per atom): -0.949
Energy (hartree per atom): -0.188
Fermi-level density of states (states/eV/cell): 3.1
Crystal system: monoclinic

The structure in Quantum ESPRESSO input format:
```
&SYSTEM
  ibrav = 0, nat = 12, ntyp = 3
/
ATOMIC_SPECIES
Mg 24.30 Mg.upf
Al 26.98 Al.upf
Pt 195.08 Pt.upf
CELL_PARAMETERS angstrom
4.147 0.000 0.000
0.000 7.154 0.000
-2.058 0.000 6.247
ATOMIC_POSITIONS crystal
Mg 0.000 0.000 0.000
Mg 0.000 0.500 0.000
Mg 0.332 0.000 0.665
Mg 0.668 0.000 0.335
Al 0.335 0.500 0.670
Al 0.665 0.500 0.330
Pt 0.169 0.270 0.338
Pt 0.169 0.730 0.338
Pt 0.500 0.261 0.000
Pt 0.500 0.739 0.000
Pt 0.831 0.270 0.662
Pt 0.831 0.730 0.662
```

VASP calculation (GGA-PBE) on NiRh2Br after structural relaxation. Values from VASP.

Energy (hartree per atom): -0.180
Fermi-level density of states (states/eV/cell): 12.8
Crystal system: tetragonal
ΔE_f (raw) (kJ/mol of atoms): 62

The structure in Quantum ESPRESSO input format:
```
&SYSTEM
  ibrav = 0, nat = 8, ntyp = 3
/
ATOMIC_SPECIES
Ni 58.69 Ni.upf
Rh 102.91 Rh.upf
Br 79.90 Br.upf
CELL_PARAMETERS angstrom
-1.886 1.886 8.927
1.886 -1.886 8.927
1.886 1.886 -8.927
ATOMIC_POSITIONS crystal
Ni 0.000 0.000 0.000
Ni 0.750 0.250 0.500
Rh 0.110 0.625 0.985
Rh 0.375 0.360 0.485
Rh 0.640 0.125 0.015
Rh 0.875 0.890 0.515
Br 0.250 0.750 0.500
Br 0.500 0.500 0.000
```

VASP calculation (GGA-PBE) on VHg3Pb after structural relaxation. Values from VASP.

ΔH_f (0 K) (eV per atom): 0.531
Energy (hartree per atom): -0.081
Fermi-level density of states (states/eV/cell): 5.0
Crystal system: cubic

The structure in Quantum ESPRESSO input format:
```
&SYSTEM
  ibrav = 0, nat = 5, ntyp = 3
/
ATOMIC_SPECIES
V 50.94 V.upf
Hg 200.59 Hg.upf
Pb 207.20 Pb.upf
CELL_PARAMETERS angstrom
5.274 0.000 0.000
0.000 5.274 0.000
0.000 0.000 5.274
ATOMIC_POSITIONS crystal
V 0.000 0.000 0.000
Hg 0.000 0.000 0.500
Hg 0.000 0.500 0.000
Hg 0.500 0.000 0.000
Pb 0.500 0.500 0.500
```

VASP calculation (GGA-PBE) on SmTmMnHg after structural relaxation. Values from VASP.

ΔH_f (0 K) (eV per atom): -0.068
Energy (hartree per atom): -0.174
Fermi-level density of states (states/eV/cell): 5.6
Crystal system: cubic

The structure in Quantum ESPRESSO input format:
```
&SYSTEM
  ibrav = 0, nat = 4, ntyp = 4
/
ATOMIC_SPECIES
Sm 150.36 Sm.upf
Tm 168.93 Tm.upf
Mn 54.94 Mn.upf
Hg 200.59 Hg.upf
CELL_PARAMETERS angstrom
0.000 3.652 3.652
3.652 0.000 3.652
3.652 3.652 0.000
ATOMIC_POSITIONS crystal
Sm 0.000 0.000 0.000
Tm 0.500 0.500 0.500
Mn 0.250 0.250 0.250
Hg 0.750 0.750 0.750
```

VASP calculation (GGA-PBE) on BeTl2Pb after structural relaxation. Values from VASP.

ΔH_f (0 K) (eV per atom): 0.584
Energy (hartree per atom): -0.090
Fermi-level density of states (states/eV/cell): 0.8
Crystal system: cubic

The structure in Quantum ESPRESSO input format:
```
&SYSTEM
  ibrav = 0, nat = 4, ntyp = 3
/
ATOMIC_SPECIES
Be 9.01 Be.upf
Tl 204.38 Tl.upf
Pb 207.20 Pb.upf
CELL_PARAMETERS angstrom
0.000 3.758 3.758
3.758 0.000 3.758
3.758 3.758 0.000
ATOMIC_POSITIONS crystal
Be 0.000 0.000 0.000
Tl 0.250 0.250 0.250
Tl 0.750 0.750 0.750
Pb 0.500 0.500 0.500
```

VASP calculation (GGA-PBE) on LaCrTeAu2 after structural relaxation. Values from VASP.

Energy (hartree per atom): -0.188
Fermi-level density of states (states/eV/cell): 3.0
Crystal system: tetragonal
ΔE_f (raw) (kJ/mol of atoms): -26

The structure in Quantum ESPRESSO input format:
```
&SYSTEM
  ibrav = 0, nat = 5, ntyp = 4
/
ATOMIC_SPECIES
La 138.91 La.upf
Cr 52.00 Cr.upf
Te 127.60 Te.upf
Au 196.97 Au.upf
CELL_PARAMETERS angstrom
5.024 0.000 0.000
0.000 5.024 0.000
0.000 0.000 5.127
ATOMIC_POSITIONS crystal
La 0.000 0.000 0.000
Cr 0.500 0.500 0.500
Te 0.500 0.500 0.000
Au 0.000 0.500 0.500
Au 0.500 0.000 0.500
```

VASP calculation (GGA-PBE) on Hf2PtC after structural relaxation. Values from VASP.

ΔH_f (0 K) (eV per atom): -0.472
Energy (hartree per atom): -0.340
Fermi-level density of states (states/eV/cell): 3.1
Crystal system: tetragonal

The structure in Quantum ESPRESSO input format:
```
&SYSTEM
  ibrav = 0, nat = 8, ntyp = 3
/
ATOMIC_SPECIES
Hf 178.49 Hf.upf
Pt 195.08 Pt.upf
C 12.01 C.upf
CELL_PARAMETERS angstrom
-3.160 3.160 3.570
3.160 -3.160 3.570
3.160 3.160 -3.570
ATOMIC_POSITIONS crystal
Hf 0.062 0.125 0.437
Hf 0.375 0.938 0.063
Hf 0.688 0.625 0.563
Hf 0.875 0.312 0.937
Pt 0.250 0.750 0.500
Pt 0.500 0.500 0.000
C 0.000 0.000 0.000
C 0.750 0.250 0.500
```